w:
Below is crystalline YTe2Pd at its relaxed geometry, with properties calculated at the PBE level.

CIF file:
```
data_YTe2Pd
_cell_length_a 3.9548
_cell_length_b 3.9548
_cell_length_c 27.0165
_cell_angle_alpha 90.00
_cell_angle_beta 90.00
_cell_angle_gamma 120.00
_symmetry_space_group_name_H-M 'R -3 m'
_symmetry_Int_Tables_number 166
_symmetry_space_group_name_Hall '-R 3 2"'
loop_
_atom_site_label
_atom_site_type_symbol
_atom_site_fract_x
_atom_site_fract_y
_atom_site_fract_z
Y1 Y 0.0000 0.0000 0.0000
Te1 Te 0.0000 0.0000 0.1115
Pd1 Pd 0.0000 0.0000 0.5000
```

Values from the calculation:
Total magnetic moment, μB per atom: 0.000
Crystal system: trigonal
Calculated volume, Å³/cell: 365.9

***

x:
Below is crystalline YTe2Pd at its relaxed geometry, with properties calculated at the PBE level.

CIF file:
```
data_YTe2Pd
_cell_length_a 4.3179
_cell_length_b 4.3179
_cell_length_c 26.1510
_cell_angle_alpha 90.00
_cell_angle_beta 90.00
_cell_angle_gamma 120.00
_symmetry_space_group_name_H-M 'R -3 m'
_symmetry_Int_Tables_number 166
_symmetry_space_group_name_Hall '-R 3 2"'
loop_
_atom_site_label
_atom_site_type_symbol
_atom_site_fract_x
_atom_site_fract_y
_atom_site_fract_z
Y1 Y 0.0000 0.0000 0.0000
Te1 Te 0.0000 0.0000 0.4017
Pd1 Pd 0.0000 0.0000 0.5000
```

Values from the calculation:
Total magnetic moment, μB per atom: 0.166
Crystal system: trigonal
Calculated volume, Å³/cell: 422.2

***

Relative stability in kJ/mol of atoms, measured from the most stable structure: w 31.0; x 0.0

***

w:
Below is crystalline YTe2Pd at its relaxed geometry, with properties calculated at the PBE level.

CIF file:
```
data_YTe2Pd
_cell_length_a 7.318
_cell_length_b 7.318
_cell_length_c 7.318
_cell_angle_alpha 90.00
_cell_angle_beta 90.00
_cell_angle_gamma 90.00
_symmetry_space_group_name_H-M 'F m -3 m'
_symmetry_Int_Tables_number 225
_symmetry_space_group_name_Hall '-F 4 2 3'
loop_
_atom_site_label
_atom_site_type_symbol
_atom_site_fract_x
_atom_site_fract_y
_atom_site_fract_z
Y1 Y 0.000 0.000 0.000
Te1 Te 0.250 0.250 0.250
Pd1 Pd 0.000 0.000 0.500
```

Values from the calculation:
Total magnetic moment, μB per atom: 0.000
Crystal system: cubic
Calculated volume, Å³/cell: 391.9

***

x:
Below is crystalline YTe2Pd at its relaxed geometry, with properties calculated at the PBE level.

CIF file:
```
data_YTe2Pd
_cell_length_a 5.871
_cell_length_b 5.871
_cell_length_c 15.321
_cell_angle_alpha 90.00
_cell_angle_beta 90.00
_cell_angle_gamma 90.00
_symmetry_space_group_name_H-M 'I -4 2 d'
_symmetry_Int_Tables_number 122
_symmetry_space_group_name_Hall 'I -4 2bw'
loop_
_atom_site_label
_atom_site_type_symbol
_atom_site_fract_x
_atom_site_fract_y
_atom_site_fract_z
Y1 Y 0.000 0.000 0.000
Te1 Te 0.205 0.250 0.625
Pd1 Pd 0.000 0.000 0.500
```

Values from the calculation:
Total magnetic moment, μB per atom: 0.000
Crystal system: tetragonal
Calculated volume, Å³/cell: 528.1

***

Relative stability in kJ/mol of atoms, measured from the most stable structure: w 0.0; x 2.7

***

w:
Below is crystalline YTe3Pd at its relaxed geometry, with properties calculated at the PBE level.

CIF file:
```
data_YTe3Pd
_cell_length_a 5.795
_cell_length_b 5.795
_cell_length_c 5.795
_cell_angle_alpha 90.00
_cell_angle_beta 90.00
_cell_angle_gamma 90.00
_symmetry_space_group_name_H-M 'P m -3 m'
_symmetry_Int_Tables_number 221
_symmetry_space_group_name_Hall '-P 4 2 3'
loop_
_atom_site_label
_atom_site_type_symbol
_atom_site_fract_x
_atom_site_fract_y
_atom_site_fract_z
Y1 Y 0.000 0.000 0.000
Te1 Te 0.000 0.000 0.500
Pd1 Pd 0.500 0.500 0.500
```

Values from the calculation:
Total magnetic moment, μB per atom: 0.000
Crystal system: cubic
Calculated volume, Å³/cell: 194.6

***

x:
Below is crystalline YTe3Pd at its relaxed geometry, with properties calculated at the PBE level.

CIF file:
```
data_YTe3Pd
_cell_length_a 5.285
_cell_length_b 5.285
_cell_length_c 5.285
_cell_angle_alpha 90.00
_cell_angle_beta 90.00
_cell_angle_gamma 90.00
_symmetry_space_group_name_H-M 'P m -3 m'
_symmetry_Int_Tables_number 221
_symmetry_space_group_name_Hall '-P 4 2 3'
loop_
_atom_site_label
_atom_site_type_symbol
_atom_site_fract_x
_atom_site_fract_y
_atom_site_fract_z
Y1 Y 0.000 0.000 0.000
Te1 Te 0.000 0.500 0.500
Pd1 Pd 0.500 0.500 0.500
```

Values from the calculation:
Total magnetic moment, μB per atom: 0.000
Crystal system: cubic
Calculated volume, Å³/cell: 147.6

***

Relative stability in kJ/mol of atoms, measured from the most stable structure: w 50.5; x 0.0

***

w:
Below is crystalline YTePd3 at its relaxed geometry, with properties calculated at the PBE level.

CIF file:
```
data_YTePd3
_cell_length_a 5.057
_cell_length_b 5.057
_cell_length_c 5.057
_cell_angle_alpha 90.00
_cell_angle_beta 90.00
_cell_angle_gamma 90.00
_symmetry_space_group_name_H-M 'P m -3 m'
_symmetry_Int_Tables_number 221
_symmetry_space_group_name_Hall '-P 4 2 3'
loop_
_atom_site_label
_atom_site_type_symbol
_atom_site_fract_x
_atom_site_fract_y
_atom_site_fract_z
Y1 Y 0.000 0.000 0.000
Te1 Te 0.500 0.500 0.500
Pd1 Pd 0.000 0.000 0.500
```

Values from the calculation:
Total magnetic moment, μB per atom: 0.000
Crystal system: cubic
Calculated volume, Å³/cell: 129.4

***

x:
Below is crystalline YTePd3 at its relaxed geometry, with properties calculated at the PBE level.

CIF file:
```
data_YTePd3
_cell_length_a 4.937
_cell_length_b 4.937
_cell_length_c 4.937
_cell_angle_alpha 90.00
_cell_angle_beta 90.00
_cell_angle_gamma 90.00
_symmetry_space_group_name_H-M 'P m -3 m'
_symmetry_Int_Tables_number 221
_symmetry_space_group_name_Hall '-P 4 2 3'
loop_
_atom_site_label
_atom_site_type_symbol
_atom_site_fract_x
_atom_site_fract_y
_atom_site_fract_z
Y1 Y 0.000 0.000 0.000
Te1 Te 0.500 0.500 0.500
Pd1 Pd 0.000 0.500 0.500
```

Values from the calculation:
Total magnetic moment, μB per atom: 0.000
Crystal system: cubic
Calculated volume, Å³/cell: 120.4

***

Relative stability in kJ/mol of atoms, measured from the most stable structure: w 62.7; x 0.0

***

w:
Below is crystalline Y2Te2Pd at its relaxed geometry, with properties calculated at the PBE level.

CIF file:
```
data_Y2Te2Pd
_cell_length_a 8.025
_cell_length_b 8.025
_cell_length_c 4.180
_cell_angle_alpha 90.00
_cell_angle_beta 90.00
_cell_angle_gamma 90.00
_symmetry_space_group_name_H-M 'P 4/m b m'
_symmetry_Int_Tables_number 127
_symmetry_space_group_name_Hall '-P 4 2ab'
loop_
_atom_site_label
_atom_site_type_symbol
_atom_site_fract_x
_atom_site_fract_y
_atom_site_fract_z
Y1 Y 0.160 0.340 0.000
Te1 Te 0.150 0.650 0.500
Pd1 Pd 0.000 0.000 0.000
```

Values from the calculation:
Total magnetic moment, μB per atom: 0.000
Crystal system: tetragonal
Calculated volume, Å³/cell: 269.2

***

x:
Below is crystalline Y2Te2Pd at its relaxed geometry, with properties calculated at the PBE level.

CIF file:
```
data_Y2Te2Pd
_cell_length_a 7.974
_cell_length_b 7.974
_cell_length_c 4.036
_cell_angle_alpha 90.00
_cell_angle_beta 90.00
_cell_angle_gamma 90.00
_symmetry_space_group_name_H-M 'P 4/m b m'
_symmetry_Int_Tables_number 127
_symmetry_space_group_name_Hall '-P 4 2ab'
loop_
_atom_site_label
_atom_site_type_symbol
_atom_site_fract_x
_atom_site_fract_y
_atom_site_fract_z
Y1 Y 0.157 0.343 0.000
Te1 Te 0.152 0.652 0.500
Pd1 Pd 0.000 0.000 0.500
```

Values from the calculation:
Total magnetic moment, μB per atom: 0.000
Crystal system: tetragonal
Calculated volume, Å³/cell: 256.6

***

Relative stability in kJ/mol of atoms, measured from the most stable structure: w 1.1; x 0.0

***

w:
Below is crystalline Zn2TePd2 at its relaxed geometry, with properties calculated at the PBE level.

CIF file:
```
data_Zn2TePd2
_cell_length_a 3.630
_cell_length_b 3.630
_cell_length_c 13.408
_cell_angle_alpha 90.00
_cell_angle_beta 90.00
_cell_angle_gamma 90.00
_symmetry_space_group_name_H-M 'I 4/m m m'
_symmetry_Int_Tables_number 139
_symmetry_space_group_name_Hall '-I 4 2'
loop_
_atom_site_label
_atom_site_type_symbol
_atom_site_fract_x
_atom_site_fract_y
_atom_site_fract_z
Zn1 Zn 0.000 0.500 0.250
Te1 Te 0.000 0.000 0.000
Pd1 Pd 0.000 0.000 0.395
```

Values from the calculation:
Total magnetic moment, μB per atom: 0.000
Crystal system: tetragonal
Calculated volume, Å³/cell: 176.7

***

x:
Below is crystalline Zn2TePd2 at its relaxed geometry, with properties calculated at the PBE level.

CIF file:
```
data_Zn2TePd2
_cell_length_a 4.107
_cell_length_b 4.107
_cell_length_c 11.028
_cell_angle_alpha 90.00
_cell_angle_beta 90.00
_cell_angle_gamma 90.00
_symmetry_space_group_name_H-M 'I 4/m m m'
_symmetry_Int_Tables_number 139
_symmetry_space_group_name_Hall '-I 4 2'
loop_
_atom_site_label
_atom_site_type_symbol
_atom_site_fract_x
_atom_site_fract_y
_atom_site_fract_z
Zn1 Zn 0.000 0.000 0.113
Te1 Te 0.000 0.000 0.500
Pd1 Pd 0.000 0.500 0.250
```

Values from the calculation:
Total magnetic moment, μB per atom: 0.000
Crystal system: tetragonal
Calculated volume, Å³/cell: 186.0

***

y:
Below is crystalline Zn2TePd2 at its relaxed geometry, with properties calculated at the PBE level.

CIF file:
```
data_Zn2TePd2
_cell_length_a 7.614
_cell_length_b 7.614
_cell_length_c 2.997
_cell_angle_alpha 90.00
_cell_angle_beta 90.00
_cell_angle_gamma 90.00
_symmetry_space_group_name_H-M 'P 4/m b m'
_symmetry_Int_Tables_number 127
_symmetry_space_group_name_Hall '-P 4 2ab'
loop_
_atom_site_label
_atom_site_type_symbol
_atom_site_fract_x
_atom_site_fract_y
_atom_site_fract_z
Zn1 Zn 0.137 0.363 0.000
Te1 Te 0.000 0.000 0.000
Pd1 Pd 0.151 0.651 0.500
```

Values from the calculation:
Total magnetic moment, μB per atom: 0.000
Crystal system: tetragonal
Calculated volume, Å³/cell: 173.8

***

z:
Below is crystalline Zn2TePd2 at its relaxed geometry, with properties calculated at the PBE level.

CIF file:
```
data_Zn2TePd2
_cell_length_a 7.551
_cell_length_b 7.551
_cell_length_c 3.024
_cell_angle_alpha 90.00
_cell_angle_beta 90.00
_cell_angle_gamma 90.00
_symmetry_space_group_name_H-M 'P 4/m b m'
_symmetry_Int_Tables_number 127
_symmetry_space_group_name_Hall '-P 4 2ab'
loop_
_atom_site_label
_atom_site_type_symbol
_atom_site_fract_x
_atom_site_fract_y
_atom_site_fract_z
Zn1 Zn 0.145 0.355 0.000
Te1 Te 0.000 0.000 0.500
Pd1 Pd 0.147 0.647 0.500
```

Values from the calculation:
Total magnetic moment, μB per atom: 0.000
Crystal system: tetragonal
Calculated volume, Å³/cell: 172.4

***

Relative stability in kJ/mol of atoms, measured from the most stable structure: w 5.9; x 20.2; y 7.2; z 0.0

***

w:
Below is crystalline ZnTe2Pd8 at its relaxed geometry, with properties calculated at the PBE level.

CIF file:
```
data_ZnTe2Pd8
_cell_length_a 14.989
_cell_length_b 4.176
_cell_length_c 6.217
_cell_angle_alpha 90.00
_cell_angle_beta 107.60
_cell_angle_gamma 90.00
_symmetry_space_group_name_H-M 'C 1 2/m 1'
_symmetry_Int_Tables_number 12
_symmetry_space_group_name_Hall '-C 2y'
loop_
_atom_site_label
_atom_site_type_symbol
_atom_site_fract_x
_atom_site_fract_y
_atom_site_fract_z
Zn1 Zn 0.000 0.000 0.000
Te1 Te 0.193 0.500 0.663
Pd1 Pd 0.033 0.500 0.754
Pd2 Pd 0.085 0.000 0.447
Pd3 Pd 0.146 0.500 0.206
Pd4 Pd 0.174 0.000 0.933
```

Values from the calculation:
Total magnetic moment, μB per atom: 0.000
Crystal system: monoclinic
Calculated volume, Å³/cell: 370.9

***

x:
Below is crystalline ZnTe2Pd8 at its relaxed geometry, with properties calculated at the PBE level.

CIF file:
```
data_ZnTe2Pd8
_cell_length_a 4.123
_cell_length_b 7.575
_cell_length_c 12.013
_cell_angle_alpha 90.00
_cell_angle_beta 90.00
_cell_angle_gamma 90.00
_symmetry_space_group_name_H-M 'I m m m'
_symmetry_Int_Tables_number 71
_symmetry_space_group_name_Hall '-I 2 2'
loop_
_atom_site_label
_atom_site_type_symbol
_atom_site_fract_x
_atom_site_fract_y
_atom_site_fract_z
Zn1 Zn 0.000 0.000 0.000
Te1 Te 0.000 0.000 0.320
Pd1 Pd 0.000 0.206 0.500
Pd2 Pd 0.000 0.263 0.163
Pd3 Pd 0.000 0.500 0.362
```

Values from the calculation:
Total magnetic moment, μB per atom: 0.000
Crystal system: orthorhombic
Calculated volume, Å³/cell: 375.2

***

Relative stability in kJ/mol of atoms, measured from the most stable structure: w 0.0; x 1.8

***

w:
Below is crystalline ZnTePd4 at its relaxed geometry, with properties calculated at the PBE level.

CIF file:
```
data_ZnTePd4
_cell_length_a 6.607
_cell_length_b 3.895
_cell_length_c 15.709
_cell_angle_alpha 90.00
_cell_angle_beta 90.00
_cell_angle_gamma 90.00
_symmetry_space_group_name_H-M 'P n m a'
_symmetry_Int_Tables_number 62
_symmetry_space_group_name_Hall '-P 2ac 2n'
loop_
_atom_site_label
_atom_site_type_symbol
_atom_site_fract_x
_atom_site_fract_y
_atom_site_fract_z
Zn1 Zn 0.206 0.250 0.201
Te1 Te 0.209 0.750 0.449
Pd1 Pd 0.020 0.750 0.931
Pd2 Pd 0.075 0.250 0.348
Pd3 Pd 0.084 0.250 0.784
Pd4 Pd 0.210 0.250 0.594
```

Values from the calculation:
Total magnetic moment, μB per atom: 0.000
Crystal system: orthorhombic
Calculated volume, Å³/cell: 404.2

***

x:
Below is crystalline ZnTePd4 at its relaxed geometry, with properties calculated at the PBE level.

CIF file:
```
data_ZnTePd4
_cell_length_a 5.312
_cell_length_b 7.735
_cell_length_c 5.191
_cell_angle_alpha 90.00
_cell_angle_beta 111.08
_cell_angle_gamma 90.00
_symmetry_space_group_name_H-M 'P 1 21/c 1'
_symmetry_Int_Tables_number 14
_symmetry_space_group_name_Hall '-P 2ybc'
loop_
_atom_site_label
_atom_site_type_symbol
_atom_site_fract_x
_atom_site_fract_y
_atom_site_fract_z
Zn1 Zn 0.000 0.000 0.000
Te1 Te 0.500 0.000 0.500
Pd1 Pd 0.110 0.166 0.606
Pd2 Pd 0.379 0.664 0.396
```

Values from the calculation:
Total magnetic moment, μB per atom: 0.000
Crystal system: monoclinic
Calculated volume, Å³/cell: 199.0

***

Relative stability in kJ/mol of atoms, measured from the most stable structure: w 0.0; x 4.5